DFT (PBE) results for a relaxed structure of BaYAs2S8.

Summary:
- Symmetry: No. 147
- Energy relative to the elements, uncorrected: -0.6770 eV per atom

Cell: 6.167 6.167 9.368 Å, 90.00 90.00 120.00°
Atoms (fractional coordinates):
Ba: 0.000 0.000 0.000
Y: 0.000 0.000 0.500
As: 0.333 0.667 0.752
As: 0.667 0.333 0.248
S: 0.019 0.671 0.309
S: 0.329 0.349 0.309
S: 0.333 0.667 0.985
S: 0.349 0.019 0.691
S: 0.651 0.981 0.309
S: 0.667 0.333 0.015
S: 0.671 0.651 0.691
S: 0.981 0.329 0.691